KSc2Co (PBE, relaxed); M_tot = 0.13 μB/cell
1.0
-2.081 2.081 5.139
2.081 -2.081 5.139
2.081 2.081 -5.139
K Sc Co
1 2 1
direct
0.000 0.000 0.000
0.250 0.750 0.500
0.500 0.500 0.000
0.750 0.250 0.500



KScCo2 (PBE, relaxed); M_tot = 0.57 μB/cell
1.0
1.526 0.881 9.100
-1.526 0.881 9.100
0.000 -1.762 9.100
K Sc Co
1 1 2
direct
0.000 0.000 0.000
0.500 0.500 0.500
0.235 0.235 0.235
0.765 0.765 0.765



KSc2Co (PBE, relaxed); M_tot = 0.00 μB/cell
1.0
3.272 -1.887 0.000
3.272 1.887 0.000
-2.207 0.000 9.374
K Sc Co
1 2 1
direct
0.000 0.000 0.000
0.546 0.546 0.632
0.790 0.790 0.367
0.168 0.168 0.500



no.,relative energy among the computed polymorphs (meV per atom),formation enthalpy at 0 K (meV per atom)
1,803,868
2,414,671
3,22,86